(1)
# Ce4ZrTl, optimized geometry, DFT PBE
# Spin magnetization = 0.00 μB per cell
# Total energy = -5.837 eV per atom
data_Ce4ZrTl
_chemical_formula_sum 'Ce4 Zr1 Tl1'
_cell_length_a 6.1183
_cell_length_b 6.1183
_cell_length_c 6.1183
_cell_angle_alpha 128.49
_cell_angle_beta 117.09
_cell_angle_gamma 85.54
_symmetry_space_group_name_H-M 'P 1'
_symmetry_Int_Tables_number 1
loop_
_symmetry_equiv_pos_as_xyz
'x,y,z'
loop_
_atom_site_label
_atom_site_fract_x
_atom_site_fract_y
_atom_site_fract_z
_atom_site_occupancy
Ce1 0.0636 0.8413 0.2223 1
Ce2 0.3811 0.1587 0.2223 1
Ce3 0.6189 0.8413 0.7777 1
Ce4 0.9364 0.1587 0.7777 1
Zr1 0.0000 0.5000 0.5000 1
Tl1 0.5000 0.5000 0.0000 1



(2)
# RbHfTl, optimized geometry, DFT PBE
# Energy above the most stable polymorph in this dataset = 0.32 eV per formula unit
# Spin magnetization = 0.00 μB per cell
# Total energy = -4.181 eV per atom
data_RbHfTl
_chemical_formula_sum 'Rb2 Hf2 Tl2'
_cell_length_a 3.4199
_cell_length_b 4.9944
_cell_length_c 13.5160
_cell_angle_alpha 90.00
_cell_angle_beta 90.83
_cell_angle_gamma 90.00
_symmetry_space_group_name_H-M 'P 1'
_symmetry_Int_Tables_number 1
loop_
_symmetry_equiv_pos_as_xyz
'x,y,z'
loop_
_atom_site_label
_atom_site_fract_x
_atom_site_fract_y
_atom_site_fract_z
_atom_site_occupancy
Rb1 0.0000 0.0000 0.0000 1
Rb2 0.4576 0.5000 0.3111 1
Hf1 0.4704 0.0000 0.5536 1
Hf2 0.9806 0.0000 0.7290 1
Tl1 0.4838 0.5000 0.7820 1
Tl2 0.9708 0.5000 0.5621 1



(3)
# HfIrO2, optimized geometry, DFT PBE
# Energy above the most stable polymorph in this dataset = 3.90 eV per formula unit
# Uncorrected formation energy = -729 meV per atom
# Spin magnetization = 0.00 μB per cell
# Total energy = -7.912 eV per atom
data_HfIrO2
_chemical_formula_sum 'Hf1 Ir1 O2'
_cell_length_a 4.0387
_cell_length_b 4.0387
_cell_length_c 4.0387
_cell_angle_alpha 60.00
_cell_angle_beta 60.00
_cell_angle_gamma 60.00
_symmetry_space_group_name_H-M 'P 1'
_symmetry_Int_Tables_number 1
loop_
_symmetry_equiv_pos_as_xyz
'x,y,z'
loop_
_atom_site_label
_atom_site_fract_x
_atom_site_fract_y
_atom_site_fract_z
_atom_site_occupancy
Hf1 0.0000 0.0000 0.0000 1
Ir1 0.5000 0.5000 0.5000 1
O1 0.2500 0.2500 0.2500 1
O2 0.7500 0.7500 0.7500 1



(4)
# Nd3Dy2Er3, optimized geometry, DFT PBE
# Energy above the most stable polymorph in this dataset = 0.54 eV per formula unit
# Spin magnetization = 0.00 μB per cell
# Total energy = -4.560 eV per atom
data_Nd3Dy2Er3
_chemical_formula_sum 'Nd3 Dy2 Er3'
_cell_length_a 8.6219
_cell_length_b 8.6219
_cell_length_c 6.0293
_cell_angle_alpha 109.30
_cell_angle_beta 109.30
_cell_angle_gamma 38.78
_symmetry_space_group_name_H-M 'P 1'
_symmetry_Int_Tables_number 1
loop_
_symmetry_equiv_pos_as_xyz
'x,y,z'
loop_
_atom_site_label
_atom_site_fract_x
_atom_site_fract_y
_atom_site_fract_z
_atom_site_occupancy
Nd1 0.0000 0.0000 0.0000 1
Nd2 0.1348 0.1348 0.6982 1
Nd3 0.8652 0.8652 0.3018 1
Dy1 0.2500 0.2500 0.3191 1
Dy2 0.7500 0.7500 0.6809 1
Er1 0.3676 0.3676 0.9198 1
Er2 0.5000 0.5000 0.5000 1
Er3 0.6324 0.6324 0.0802 1



(5)
# ZnCo2Ru, optimized geometry, DFT PBE
# Spin magnetization = 2.84 μB per cell
# Total energy = -6.058 eV per atom
data_ZnCo2Ru
_chemical_formula_sum 'Zn1 Co2 Ru1'
_cell_length_a 4.0074
_cell_length_b 4.9571
_cell_length_c 4.9571
_cell_angle_alpha 30.31
_cell_angle_beta 90.00
_cell_angle_gamma 90.00
_symmetry_space_group_name_H-M 'P 1'
_symmetry_Int_Tables_number 1
loop_
_symmetry_equiv_pos_as_xyz
'x,y,z'
loop_
_atom_site_label
_atom_site_fract_x
_atom_site_fract_y
_atom_site_fract_z
_atom_site_occupancy
Zn1 0.0000 0.0000 0.0000 1
Co1 0.0000 0.7387 0.7387 1
Co2 0.5000 0.6116 0.6116 1
Ru1 0.5000 0.3481 0.3481 1



(6)
# Ce2PrMgIn4, optimized geometry, DFT PBE
# Spin magnetization = 1.81 μB per cell
# Total energy = -3.991 eV per atom
data_Ce2PrMgIn4
_chemical_formula_sum 'Ce2 Pr1 Mg1 In4'
_cell_length_a 9.5637
_cell_length_b 9.5637
_cell_length_c 9.5637
_cell_angle_alpha 32.35
_cell_angle_beta 32.35
_cell_angle_gamma 32.35
_symmetry_space_group_name_H-M 'P 1'
_symmetry_Int_Tables_number 1
loop_
_symmetry_equiv_pos_as_xyz
'x,y,z'
loop_
_atom_site_label
_atom_site_fract_x
_atom_site_fract_y
_atom_site_fract_z
_atom_site_occupancy
Ce1 0.2425 0.2425 0.2425 1
Ce2 0.7575 0.7575 0.7575 1
Pr1 0.0000 0.0000 0.0000 1
Mg1 0.5000 0.5000 0.5000 1
In1 0.1247 0.1247 0.1247 1
In2 0.3770 0.3770 0.3770 1
In3 0.6230 0.6230 0.6230 1
In4 0.8753 0.8753 0.8753 1



(7)
# AcPr15Tl4, optimized geometry, DFT PBE
# Spin magnetization = 0.00 μB per cell
# Total energy = -4.416 eV per atom
data_AcPr15Tl4
_chemical_formula_sum 'Ac1 Pr15 Tl4'
_cell_length_a 5.0533
_cell_length_b 5.0533
_cell_length_c 25.8950
_cell_angle_alpha 90.00
_cell_angle_beta 90.00
_cell_angle_gamma 90.00
_symmetry_space_group_name_H-M 'P 1'
_symmetry_Int_Tables_number 1
loop_
_symmetry_equiv_pos_as_xyz
'x,y,z'
loop_
_atom_site_label
_atom_site_fract_x
_atom_site_fract_y
_atom_site_fract_z
_atom_site_occupancy
Ac1 0.0000 0.0000 0.0000 1
Pr1 0.0000 0.5000 0.1092 1
Pr2 0.0000 0.5000 0.3054 1
Pr3 0.0000 0.5000 0.5000 1
Pr4 0.0000 0.5000 0.6946 1
Pr5 0.0000 0.5000 0.8908 1
Pr6 0.5000 0.0000 0.1092 1
Pr7 0.5000 0.0000 0.3054 1
Pr8 0.5000 0.0000 0.5000 1
Pr9 0.5000 0.0000 0.6946 1
Pr10 0.5000 0.0000 0.8908 1
Pr11 0.5000 0.5000 0.0000 1
Pr12 0.5000 0.5000 0.2087 1
Pr13 0.5000 0.5000 0.4025 1
Pr14 0.5000 0.5000 0.5975 1
Pr15 0.5000 0.5000 0.7913 1
Tl1 0.0000 0.0000 0.2081 1
Tl2 0.0000 0.0000 0.4029 1
Tl3 0.0000 0.0000 0.5971 1
Tl4 0.0000 0.0000 0.7919 1



(8)
# V2Cu, optimized geometry, DFT PBE
# Spin magnetization = 0.00 μB per cell
# Total energy = -7.403 eV per atom
data_V2Cu
_chemical_formula_sum 'V4 Cu2'
_cell_length_a 2.4753
_cell_length_b 4.3084
_cell_length_c 7.2891
_cell_angle_alpha 89.91
_cell_angle_beta 86.50
_cell_angle_gamma 89.81
_symmetry_space_group_name_H-M 'P 1'
_symmetry_Int_Tables_number 1
loop_
_symmetry_equiv_pos_as_xyz
'x,y,z'
loop_
_atom_site_label
_atom_site_fract_x
_atom_site_fract_y
_atom_site_fract_z
_atom_site_occupancy
V1 0.0077 0.2495 0.2605 1
V2 0.3240 0.7498 0.0731 1
V3 0.6760 0.2502 0.9269 1
V4 0.9923 0.7505 0.7395 1
Cu1 0.4176 0.2502 0.5899 1
Cu2 0.5824 0.7498 0.4101 1



(9)
# K2ScSbO6, optimized geometry, DFT PBE
# Uncorrected formation energy = -1808 meV per atom
# Spin magnetization = 2.00 μB per cell
# Total energy = -6.047 eV per atom
data_K2ScSbO6
_chemical_formula_sum 'K2 Sc1 Sb1 O6'
_cell_length_a 5.8292
_cell_length_b 5.8292
_cell_length_c 5.8292
_cell_angle_alpha 60.00
_cell_angle_beta 60.00
_cell_angle_gamma 60.00
_symmetry_space_group_name_H-M 'P 1'
_symmetry_Int_Tables_number 1
loop_
_symmetry_equiv_pos_as_xyz
'x,y,z'
loop_
_atom_site_label
_atom_site_fract_x
_atom_site_fract_y
_atom_site_fract_z
_atom_site_occupancy
K1 0.2500 0.2500 0.2500 1
K2 0.7500 0.7500 0.7500 1
Sc1 0.0000 0.0000 0.0000 1
Sb1 0.5000 0.5000 0.5000 1
O1 0.2573 0.2573 0.7427 1
O2 0.2573 0.7427 0.2573 1
O3 0.2573 0.7427 0.7427 1
O4 0.7427 0.2573 0.2573 1
O5 0.7427 0.2573 0.7427 1
O6 0.7427 0.7427 0.2573 1



(10)
# CdPtSe2, optimized geometry, DFT PBE
# Uncorrected formation energy = -123 meV per atom
# Spin magnetization = 0.00 μB per cell
# Total energy = -3.605 eV per atom
data_CdPtSe2
_chemical_formula_sum 'Cd1 Pt1 Se2'
_cell_length_a 3.8455
_cell_length_b 3.5716
_cell_length_c 7.2475
_cell_angle_alpha 90.00
_cell_angle_beta 104.71
_cell_angle_gamma 90.00
_symmetry_space_group_name_H-M 'P 1'
_symmetry_Int_Tables_number 1
loop_
_symmetry_equiv_pos_as_xyz
'x,y,z'
loop_
_atom_site_label
_atom_site_fract_x
_atom_site_fract_y
_atom_site_fract_z
_atom_site_occupancy
Cd1 0.0000 0.0000 0.0000 1
Pt1 0.4082 0.5000 0.8121 1
Se1 0.2934 0.0000 0.5772 1
Se2 0.5856 0.5000 0.1718 1



(11)
# PuThTe, optimized geometry, DFT PBE
# Energy above the most stable polymorph in this dataset = 0.81 eV per formula unit
# Uncorrected formation energy = -252 meV per atom
# Spin magnetization = 6.98 μB per cell
# Total energy = -8.550 eV per atom
data_PuThTe
_chemical_formula_sum 'Pu1 Th1 Te1'
_cell_length_a 5.2461
_cell_length_b 5.2461
_cell_length_c 3.7004
_cell_angle_alpha 90.00
_cell_angle_beta 90.00
_cell_angle_gamma 120.00
_symmetry_space_group_name_H-M 'P 1'
_symmetry_Int_Tables_number 1
loop_
_symmetry_equiv_pos_as_xyz
'x,y,z'
loop_
_atom_site_label
_atom_site_fract_x
_atom_site_fract_y
_atom_site_fract_z
_atom_site_occupancy
Pu1 0.0000 0.0000 0.0000 1
Th1 0.3333 0.6667 0.5000 1
Te1 0.6667 0.3333 0.0000 1



(12)
# CaPmCuSn, optimized geometry, DFT PBE
# Spin magnetization = 0.00 μB per cell
# Total energy = -4.143 eV per atom
data_CaPmCuSn
_chemical_formula_sum 'Ca1 Pm1 Cu1 Sn1'
_cell_length_a 5.2685
_cell_length_b 5.2685
_cell_length_c 5.2685
_cell_angle_alpha 60.00
_cell_angle_beta 60.00
_cell_angle_gamma 60.00
_symmetry_space_group_name_H-M 'P 1'
_symmetry_Int_Tables_number 1
loop_
_symmetry_equiv_pos_as_xyz
'x,y,z'
loop_
_atom_site_label
_atom_site_fract_x
_atom_site_fract_y
_atom_site_fract_z
_atom_site_occupancy
Ca1 0.0000 0.0000 0.0000 1
Pm1 0.5000 0.5000 0.5000 1
Cu1 0.2500 0.2500 0.2500 1
Sn1 0.7500 0.7500 0.7500 1



(13)
# Pr2YPb3, optimized geometry, DFT PBE
# Energy above the most stable polymorph in this dataset = 0.00 eV per formula unit
# Spin magnetization = 0.01 μB per cell
# Total energy = -5.030 eV per atom
data_Pr2YPb3
_chemical_formula_sum 'Pr4 Y2 Pb6'
_cell_length_a 8.1243
_cell_length_b 8.1243
_cell_length_c 9.1944
_cell_angle_alpha 90.00
_cell_angle_beta 90.00
_cell_angle_gamma 143.76
_symmetry_space_group_name_H-M 'P 1'
_symmetry_Int_Tables_number 1
loop_
_symmetry_equiv_pos_as_xyz
'x,y,z'
loop_
_atom_site_label
_atom_site_fract_x
_atom_site_fract_y
_atom_site_fract_z
_atom_site_occupancy
Pr1 0.0000 0.0000 0.0000 1
Pr2 0.0000 0.0000 0.5000 1
Pr3 0.3333 0.6667 0.0000 1
Pr4 0.6667 0.3333 0.0000 1
Y1 0.3319 0.6681 0.5000 1
Y2 0.6681 0.3319 0.5000 1
Pb1 0.1684 0.8316 0.2557 1
Pb2 0.1684 0.8316 0.7443 1
Pb3 0.5000 0.5000 0.2550 1
Pb4 0.5000 0.5000 0.7450 1
Pb5 0.8316 0.1684 0.2557 1
Pb6 0.8316 0.1684 0.7443 1



(14)
# MnAsCl2, optimized geometry, DFT PBE
# Energy above the most stable polymorph in this dataset = 2.89 eV per formula unit
# Uncorrected formation energy = 302 meV per atom
# Spin magnetization = 4.62 μB per cell
# Total energy = -4.076 eV per atom
data_MnAsCl2
_chemical_formula_sum 'Mn1 As1 Cl2'
_cell_length_a 5.0689
_cell_length_b 5.0689
_cell_length_c 3.1696
_cell_angle_alpha 90.00
_cell_angle_beta 90.00
_cell_angle_gamma 104.32
_symmetry_space_group_name_H-M 'P 1'
_symmetry_Int_Tables_number 1
loop_
_symmetry_equiv_pos_as_xyz
'x,y,z'
loop_
_atom_site_label
_atom_site_fract_x
_atom_site_fract_y
_atom_site_fract_z
_atom_site_occupancy
Mn1 0.0000 0.0000 0.0000 1
As1 0.5000 0.5000 0.0000 1
Cl1 0.0000 0.5000 0.5000 1
Cl2 0.5000 0.0000 0.5000 1



(15)
# PuMgNiPd, optimized geometry, DFT PBE
# Spin magnetization = 4.93 μB per cell
# Total energy = -6.951 eV per atom
data_PuMgNiPd
_chemical_formula_sum 'Pu1 Mg1 Ni1 Pd1'
_cell_length_a 4.7208
_cell_length_b 4.7208
_cell_length_c 4.7208
_cell_angle_alpha 60.00
_cell_angle_beta 60.00
_cell_angle_gamma 60.00
_symmetry_space_group_name_H-M 'P 1'
_symmetry_Int_Tables_number 1
loop_
_symmetry_equiv_pos_as_xyz
'x,y,z'
loop_
_atom_site_label
_atom_site_fract_x
_atom_site_fract_y
_atom_site_fract_z
_atom_site_occupancy
Pu1 0.0000 0.0000 0.0000 1
Mg1 0.5000 0.5000 0.5000 1
Ni1 0.7500 0.7500 0.7500 1
Pd1 0.2500 0.2500 0.2500 1



(16)
# AlCrIr2, optimized geometry, DFT PBE
# Spin magnetization = 1.57 μB per cell
# Total energy = -8.061 eV per atom
data_AlCrIr2
_chemical_formula_sum 'Al1 Cr1 Ir2'
_cell_length_a 5.1253
_cell_length_b 5.1253
_cell_length_c 5.1253
_cell_angle_alpha 146.95
_cell_angle_beta 130.66
_cell_angle_gamma 60.67
_symmetry_space_group_name_H-M 'P 1'
_symmetry_Int_Tables_number 1
loop_
_symmetry_equiv_pos_as_xyz
'x,y,z'
loop_
_atom_site_label
_atom_site_fract_x
_atom_site_fract_y
_atom_site_fract_z
_atom_site_occupancy
Al1 0.0000 0.0000 0.0000 1
Cr1 0.2407 0.7407 0.5000 1
Ir1 0.4892 0.4892 0.0000 1
Ir2 0.7669 0.2669 0.5000 1



(17)
# Cd2AsP, optimized geometry, DFT PBE
# Energy above the most stable polymorph in this dataset = 0.57 eV per formula unit
# Spin magnetization = 0.00 μB per cell
# Total energy = -2.752 eV per atom
data_Cd2AsP
_chemical_formula_sum 'Cd2 As1 P1'
_cell_length_a 3.3575
_cell_length_b 3.3575
_cell_length_c 7.4971
_cell_angle_alpha 90.00
_cell_angle_beta 90.00
_cell_angle_gamma 90.00
_symmetry_space_group_name_H-M 'P 1'
_symmetry_Int_Tables_number 1
loop_
_symmetry_equiv_pos_as_xyz
'x,y,z'
loop_
_atom_site_label
_atom_site_fract_x
_atom_site_fract_y
_atom_site_fract_z
_atom_site_occupancy
Cd1 0.0000 0.0000 0.0000 1
Cd2 0.5000 0.5000 0.2688 1
As1 0.5000 0.5000 0.6886 1
P1 0.0000 0.0000 0.5584 1



(18)
# NdHoU2P4, optimized geometry, DFT PBE
# Spin magnetization = 4.55 μB per cell
# Total energy = -7.960 eV per atom
data_NdHoU2P4
_chemical_formula_sum 'Nd1 Ho1 U2 P4'
_cell_length_a 6.8951
_cell_length_b 3.9803
_cell_length_c 7.0176
_cell_angle_alpha 90.00
_cell_angle_beta 109.12
_cell_angle_gamma 90.00
_symmetry_space_group_name_H-M 'P 1'
_symmetry_Int_Tables_number 1
loop_
_symmetry_equiv_pos_as_xyz
'x,y,z'
loop_
_atom_site_label
_atom_site_fract_x
_atom_site_fract_y
_atom_site_fract_z
_atom_site_occupancy
Nd1 0.0000 0.0000 0.0000 1
Ho1 0.5000 0.5000 0.0000 1
U1 0.0000 0.5000 0.5000 1
U2 0.5000 0.0000 0.5000 1
P1 0.2527 0.0000 0.7418 1
P2 0.2598 0.5000 0.2627 1
P3 0.7402 0.5000 0.7373 1
P4 0.7473 0.0000 0.2582 1



(19)
# InSb2P, optimized geometry, DFT PBE
# Energy above the most stable polymorph in this dataset = 1.17 eV per formula unit
# Uncorrected formation energy = 384 meV per atom
# Spin magnetization = 0.00 μB per cell
# Total energy = -3.715 eV per atom
data_InSb2P
_chemical_formula_sum 'In1 Sb2 P1'
_cell_length_a 6.0566
_cell_length_b 6.0566
_cell_length_c 3.1154
_cell_angle_alpha 99.64
_cell_angle_beta 99.64
_cell_angle_gamma 116.90
_symmetry_space_group_name_H-M 'P 1'
_symmetry_Int_Tables_number 1
loop_
_symmetry_equiv_pos_as_xyz
'x,y,z'
loop_
_atom_site_label
_atom_site_fract_x
_atom_site_fract_y
_atom_site_fract_z
_atom_site_occupancy
In1 0.0000 0.0000 0.0000 1
Sb1 0.0000 0.5000 0.5000 1
Sb2 0.5000 0.0000 0.5000 1
P1 0.5000 0.5000 0.0000 1



(20)
# CaPtS, optimized geometry, DFT PBE
# Uncorrected formation energy = -1142 meV per atom
# Spin magnetization = 0.00 μB per cell
# Total energy = -5.199 eV per atom
data_CaPtS
_chemical_formula_sum 'Ca2 Pt2 S2'
_cell_length_a 5.5092
_cell_length_b 4.5374
_cell_length_c 7.7204
_cell_angle_alpha 90.00
_cell_angle_beta 134.37
_cell_angle_gamma 90.00
_symmetry_space_group_name_H-M 'P 1'
_symmetry_Int_Tables_number 1
loop_
_symmetry_equiv_pos_as_xyz
'x,y,z'
loop_
_atom_site_label
_atom_site_fract_x
_atom_site_fract_y
_atom_site_fract_z
_atom_site_occupancy
Ca1 0.0000 0.0006 0.2500 1
Ca2 0.0000 0.9994 0.7500 1
Pt1 0.5000 0.5000 0.0000 1
Pt2 0.5000 0.5000 0.5000 1
S1 0.5000 0.2199 0.7500 1
S2 0.5000 0.7801 0.2500 1



In the order shown, the computed mass density values come out to 9.32; 6.74; 14.36; 7.95; 9.50; 6.75; 7.93; 7.08; 4.04; 8.03; 11.36; 5.90; 9.19; 4.22; 9.67; 13.95; 6.50; 8.30; 6.70; 6.43 g/cm3.
In the order shown, the computed density of states at the Fermi level values come out to 14.5; 4.7; 3.0; 13.6; 5.6; 14.3; 28.7; 6.6; 4.5; 2.5; 6.5; 1.7; 10.4; 2.2; 11.9; 3.6; 1.7; 9.2; 2.0; 0.0 states/eV per cell.